Arrangement P

A relaxed structure of TaAlTe2N. Source: Alexandria, functional PBE-GGA.

Structure (CIF):
```
data_TaAlTe2N
_symmetry_space_group_name_H-M 'P 4/m m m'
_symmetry_Int_Tables_number 123
_symmetry_space_group_name_Hall '-P 4 2'
_cell_length_a 5.4207
_cell_length_b 5.4207
_cell_length_c 3.4672
_cell_angle_alpha 90.00
_cell_angle_beta 90.00
_cell_angle_gamma 90.00
loop_
_atom_site_label
_atom_site_fract_x
_atom_site_fract_y
_atom_site_fract_z
Ta1 0.0000 0.0000 0.0000
Al1 0.5000 0.5000 0.5000
Te1 0.0000 0.5000 0.5000
N1 0.5000 0.5000 0.0000
```



Arrangement Q

A relaxed structure of TaAlTe2N. Source: Alexandria, functional PBE-GGA.

Structure (CIF):
```
data_TaAlTe2N
_symmetry_space_group_name_H-M 'P 4/m m m'
_symmetry_Int_Tables_number 123
_symmetry_space_group_name_Hall '-P 4 2'
_cell_length_a 5.5920
_cell_length_b 5.5920
_cell_length_c 3.9039
_cell_angle_alpha 90.00
_cell_angle_beta 90.00
_cell_angle_gamma 90.00
loop_
_atom_site_label
_atom_site_fract_x
_atom_site_fract_y
_atom_site_fract_z
Ta1 0.0000 0.0000 0.0000
Al1 0.5000 0.5000 0.5000
Te1 0.0000 0.5000 0.0000
N1 0.0000 0.0000 0.5000
```



Ranking the structures above by energy, arrangement Q is first and the second is 502 meV/atom behind.